Entry 1:
Density functional theory data (PBE-GGA) for a geometry-optimized Ho5Tl3Hg structure.

abc: 9.209 9.209 6.757
angles: 90.00 90.00 120.00
Positions (direct):
Ho (0.000, 0.282, 0.250)
Ho (0.000, 0.718, 0.750)
Ho (0.282, 0.000, 0.250)
Ho (0.282, 0.282, 0.750)
Ho (0.333, 0.667, 0.000)
Ho (0.333, 0.667, 0.500)
Ho (0.667, 0.333, 0.000)
Ho (0.667, 0.333, 0.500)
Ho (0.718, 0.000, 0.750)
Ho (0.718, 0.718, 0.250)
Tl (0.000, 0.378, 0.750)
Tl (0.000, 0.622, 0.250)
Tl (0.378, 0.000, 0.750)
Tl (0.378, 0.378, 0.250)
Tl (0.622, 0.000, 0.250)
Tl (0.622, 0.622, 0.750)
Hg (0.000, 0.000, 0.000)
Hg (0.000, 0.000, 0.500)

Its space-group type is P6_3/mcm, No. 193. Its magnetization is 0.0 μB per cell. As for the density of states at the Fermi level: 0.6086 states/eV per atom. The energy of formation from the pure elements comes out at -0.368 eV per atom.

Entry 2:
Density functional theory data (PBE-GGA) for a geometry-optimized TbNdPtRh structure.

abc: 4.990 4.990 4.990
angles: 60.00 60.00 60.00
Positions (direct):
Tb (0.000, 0.000, 0.000)
Nd (0.500, 0.500, 0.500)
Pt (0.750, 0.750, 0.750)
Rh (0.250, 0.250, 0.250)

Its space-group type is F-43m, No. 216. Its magnetization is 0.0 μB per cell. As for the density of states at the Fermi level: 0.5902 states/eV per atom. As for the energy relative to the lowest polymorph listed for this composition: 56.5 meV per atom. The energy of formation from the pure elements comes out at -0.923 eV per atom.

Entry 3:
Density functional theory data (PBE-GGA) for a geometry-optimized Be2Ni5 structure.

abc: 6.022 6.022 4.744
angles: 90.00 90.00 125.72
Positions (direct):
Be (0.105, 0.351, 0.000)
Be (0.351, 0.105, 0.500)
Be (0.649, 0.895, 0.500)
Be (0.895, 0.649, 0.000)
Ni (0.074, 0.249, 0.500)
Ni (0.249, 0.074, 0.000)
Ni (0.270, 0.730, 0.250)
Ni (0.270, 0.730, 0.750)
Ni (0.500, 0.500, 0.250)
Ni (0.500, 0.500, 0.750)
Ni (0.730, 0.270, 0.250)
Ni (0.730, 0.270, 0.750)
Ni (0.751, 0.926, 0.000)
Ni (0.926, 0.751, 0.500)

Its space-group type is Cccm, No. 66. Its magnetization is 1.6 μB per cell. As for the density of states at the Fermi level: 1.2516 states/eV per atom. The energy of formation from the pure elements comes out at -0.172 eV per atom.

Entry 4:
Density functional theory data (PBE-GGA) for a geometry-optimized TbBe2Ni structure.

abc: 5.281 5.281 5.281
angles: 41.75 41.75 41.75
Positions (direct):
Tb (0.000, 0.000, 0.000)
Be (0.192, 0.192, 0.192)
Be (0.808, 0.808, 0.808)
Ni (0.500, 0.500, 0.500)

Its space-group type is R-3m, No. 166. Its magnetization is 0.0 μB per cell. As for the density of states at the Fermi level: 0.8174 states/eV per atom. The energy of formation from the pure elements comes out at -0.254 eV per atom.

Entry 5:
Density functional theory data (PBE-GGA) for a geometry-optimized LiNd2Au structure.

abc: 5.188 5.188 3.841
angles: 90.00 90.00 90.00
Positions (direct):
Li (0.000, 0.000, 0.000)
Nd (0.000, 0.500, 0.500)
Nd (0.500, 0.000, 0.500)
Au (0.500, 0.500, 0.000)

Its space-group type is P4/mmm, No. 123. Its magnetization is 0.0 μB per cell. As for the density of states at the Fermi level: 1.0930 states/eV per atom. The energy of formation from the pure elements comes out at -0.355 eV per atom.

Entry 6:
Density functional theory data (PBE-GGA) for a geometry-optimized LiAl6Zn12 structure.

abc: 7.497 7.497 7.497
angles: 111.57 111.57 111.57
Positions (direct):
Li (0.000, 0.000, 0.000)
Al (0.059, 0.577, 0.370)
Al (0.370, 0.059, 0.577)
Al (0.423, 0.630, 0.941)
Al (0.577, 0.370, 0.059)
Al (0.630, 0.941, 0.423)
Al (0.941, 0.423, 0.630)
Zn (0.105, 0.157, 0.736)
Zn (0.157, 0.736, 0.105)
Zn (0.209, 0.314, 0.469)
Zn (0.264, 0.895, 0.843)
Zn (0.314, 0.469, 0.209)
Zn (0.469, 0.209, 0.314)
Zn (0.531, 0.791, 0.686)
Zn (0.686, 0.531, 0.791)
Zn (0.736, 0.105, 0.157)
Zn (0.791, 0.686, 0.531)
Zn (0.843, 0.264, 0.895)
Zn (0.895, 0.843, 0.264)

Its space-group type is R-3, No. 148. Its magnetization is 0.0 μB per cell. As for the density of states at the Fermi level: 0.1637 states/eV per atom. As for the energy relative to the lowest polymorph listed for this composition: 0.0 meV per atom. The energy of formation from the pure elements comes out at -0.018 eV per atom.

Question: Look up the energy of formation from the pure elements of the second one.
Answer: -0.923 eV per atom

Question: What is the magnetization in the fourth record?
Answer: 0.0 μB per cell

Question: Which of these has the highest energy of formation from the pure elements?
Answer: LiAl6Zn12

Question: Which formula does entry 1 have?
Answer: Ho5Tl3Hg